(1)
# DyZn8, relaxed, DFT PBE
data_DyZn8
_space_group_name_H-M_alt 'P 6/m m m'
_space_group_IT_number 191
_space_group_name_Hall '-P 6 2'
_cell_length_a 8.8724
_cell_length_b 8.8724
_cell_length_c 2.7387
_cell_angle_alpha 90.00
_cell_angle_beta 90.00
_cell_angle_gamma 120.00
loop_
_atom_site_label
_atom_site_type_symbol
_atom_site_fract_x
_atom_site_fract_y
_atom_site_fract_z
Dy1 Dy 0.0000 0.0000 0.0000
Zn1 Zn 0.1749 0.3498 0.5000
Zn2 Zn 0.3333 0.6667 0.5000
# Formation enthalpy at 0 K   0.216 eV per atom

***

(2)
# NaZrSbOs, relaxed, DFT PBE
data_NaZrSbOs
_space_group_name_H-M_alt 'F -4 3 m'
_space_group_IT_number 216
_space_group_name_Hall 'F -4 2 3'
_cell_length_a 6.770
_cell_length_b 6.770
_cell_length_c 6.770
_cell_angle_alpha 90.00
_cell_angle_beta 90.00
_cell_angle_gamma 90.00
loop_
_atom_site_label
_atom_site_type_symbol
_atom_site_fract_x
_atom_site_fract_y
_atom_site_fract_z
Na1 Na 0.000 0.000 0.000
Zr1 Zr 0.000 0.000 0.500
Sb1 Sb 0.250 0.250 0.250
Os1 Os 0.250 0.250 0.750
# Energy relative to the lowest polymorph listed for this composition   321 meV per atom

***

(3)
# NaSmPO, relaxed, DFT PBE
data_NaSmPO
_space_group_name_H-M_alt 'P m c 21'
_space_group_IT_number 26
_cell_length_a 4.155
_cell_length_b 6.540
_cell_length_c 5.625
_cell_angle_alpha 90.00
_cell_angle_beta 90.00
_cell_angle_gamma 90.00
loop_
_space_group_symop_operation_xyz
'x,y,z'
'-x,-y,z+1/2'
'-x,y,z'
'x,-y,z+1/2'
loop_
_atom_site_label
_atom_site_type_symbol
_atom_site_fract_x
_atom_site_fract_y
_atom_site_fract_z
Na1 Na 0.000 0.126 0.000
Sm1 Sm 0.500 0.263 0.500
P1 P 0.000 0.500 0.249
O1 O 0.500 0.000 0.250
# Energy relative to the lowest polymorph listed for this composition   0 meV per atom

***

(4)
Entry from OQMD: a relaxed SmGa2Ni crystal (PBE).

Cell and atoms, written as CIF:
```
data_SmGa2Ni
_space_group_name_H-M_alt 'C m m m'
_space_group_IT_number 65
_space_group_name_Hall '-C 2 2'
_cell_length_a 4.174
_cell_length_b 17.533
_cell_length_c 4.107
_cell_angle_alpha 90.00
_cell_angle_beta 90.00
_cell_angle_gamma 90.00
loop_
_atom_site_label
_atom_site_type_symbol
_atom_site_fract_x
_atom_site_fract_y
_atom_site_fract_z
Sm1 Sm 0.000 0.141 0.000
Ga1 Ga 0.000 0.000 0.500
Ga2 Ga 0.000 0.291 0.500
Ga3 Ga 0.000 0.500 0.000
Ni1 Ni 0.000 0.426 0.500
```

***

| no. | spin magnetization (μB/f.u.) | calculated total energy (eV for the cell shown) |
| --- | --- | --- |
| 1 | 0.024 | -12.8 |
| 2 | 0.006 | -98.0 |
| 3 | 0.004 | -45.4 |
| 4 | 0.001 | -75.7 |